Entry 1:
{
  "formula": "Ce2Mg3Pb3",
  "functional": "PBE-GGA",
  "state": "optimized geometry",
  "dos_ef_per_ev_cell": 13.34,
  "final_energy_ev_per_atom": -3.76,
  "space_group": "Pmmm",
  "formation_enthalpy_0k_ev_per_atom": -0.288,
  "volume_a3_per_atom": 27.11,
  "lattice_angstrom": [[-2.9444, 0.2115, 3.9571], [-3.3549, -2.4871, -2.3633], [3.6104, -7.8198, 3.1042]],
  "species": ["Ce", "Ce", "Mg", "Mg", "Mg", "Pb", "Pb", "Pb"],
  "fractional_positions": [[0.0000, 0.0000, 0.7453], [0.0000, 0.0000, 0.2547], [0.5000, 0.5000, 0.7570], [0.5000, 0.5000, 0.2430], [0.5000, 0.0000, 0.0000], [0.5000, 0.0000, 0.5000], [0.0000, 0.5000, 0.0000], [0.0000, 0.5000, 0.5000]]
}

***

Entry 2:
{
  "formula": "Ce3Mg7Pb4",
  "functional": "PBE-GGA",
  "state": "optimized geometry",
  "dos_ef_per_ev_cell": 26.37,
  "final_energy_ev_per_atom": -3.34,
  "space_group": "C2/m",
  "formation_enthalpy_0k_ev_per_atom": -0.213,
  "volume_a3_per_atom": 26.70,
  "lattice_angstrom": [[-4.0812, 1.3312, 1.9606], [1.4921, -0.2114, 8.9296], [1.5861, 9.0781, 2.8177]],
  "species": ["Ce", "Ce", "Ce", "Mg", "Mg", "Mg", "Mg", "Mg", "Mg", "Mg", "Pb", "Pb", "Pb", "Pb"],
  "fractional_positions": [[0.3052, 0.1867, 0.2029], [0.6948, 0.8133, 0.7971], [0.0000, 0.5000, 0.5000], [0.3256, 0.8316, 0.5171], [0.4867, 0.1965, 0.8301], [0.8430, 0.3755, 0.9384], [0.6744, 0.1684, 0.4829], [0.1570, 0.6245, 0.0616], [0.0000, 0.0000, 0.0000], [0.5133, 0.8035, 0.1699], [0.6499, 0.4567, 0.2435], [0.3501, 0.5433, 0.7565], [0.8823, 0.8987, 0.3367], [0.1177, 0.1013, 0.6633]]
}

***

Entry 3:
{
  "formula": "CeMg3Pb3",
  "functional": "PBE-GGA",
  "state": "optimized geometry",
  "dos_ef_per_ev_cell": 14.77,
  "final_energy_ev_per_atom": -3.27,
  "space_group": "P6_3/m",
  "formation_enthalpy_0k_ev_per_atom": -0.153,
  "volume_a3_per_atom": 26.86,
  "lattice_angstrom": [[-1.5794, 4.5953, 1.1369], [-5.4077, -3.5245, 6.7336], [8.7690, 2.5409, 1.9117]],
  "species": ["Ce", "Ce", "Mg", "Mg", "Mg", "Mg", "Mg", "Mg", "Pb", "Pb", "Pb", "Pb", "Pb", "Pb"],
  "fractional_positions": [[0.2500, 0.6667, 0.3333], [0.7500, 0.3333, 0.6667], [0.7500, 0.0459, 0.8230], [0.7500, 0.7771, 0.9541], [0.2500, 0.8230, 0.7771], [0.7500, 0.1770, 0.2229], [0.2500, 0.2229, 0.0459], [0.2500, 0.9541, 0.1770], [0.7500, 0.6515, 0.5678], [0.7500, 0.9163, 0.3485], [0.2500, 0.5678, 0.9163], [0.7500, 0.4322, 0.0837], [0.2500, 0.0837, 0.6515], [0.2500, 0.3485, 0.4322]]
}

***

Entry 4:
{
  "formula": "Ce5MgPb6",
  "functional": "PBE-GGA",
  "state": "optimized geometry",
  "dos_ef_per_ev_cell": 34.30,
  "final_energy_ev_per_atom": -4.81,
  "space_group": "C2/m",
  "formation_enthalpy_0k_ev_per_atom": -0.348,
  "volume_a3_per_atom": 28.92,
  "lattice_angstrom": [[4.8866, 1.2099, 0.0000], [2.5390, 9.8188, 0.0000], [1.2695, 4.9094, 7.7287]],
  "species": ["Ce", "Ce", "Ce", "Ce", "Ce", "Mg", "Pb", "Pb", "Pb", "Pb", "Pb", "Pb"],
  "fractional_positions": [[0.5000, 0.1525, 0.6950], [0.0000, 0.3358, 0.3285], [0.5000, 0.5000, 0.0000], [0.0000, 0.6642, 0.6715], [0.5000, 0.8475, 0.3050], [0.0000, 0.0000, 0.0000], [0.7512, 0.0807, 0.3363], [0.2488, 0.5830, 0.3363], [0.2472, 0.2482, 0.0000], [0.7528, 0.7518, 0.0000], [0.7512, 0.4170, 0.6637], [0.2488, 0.9193, 0.6637]]
}

***

Entry 5:
{
  "formula": "Ce2MgPb",
  "functional": "PBE-GGA",
  "state": "optimized geometry",
  "dos_ef_per_ev_cell": 9.66,
  "final_energy_ev_per_atom": -4.52,
  "space_group": "P4/mmm",
  "formation_enthalpy_0k_ev_per_atom": -0.231,
  "volume_a3_per_atom": 26.79,
  "lattice_angstrom": [[-1.7087, -3.7077, 2.8498], [3.8751, 0.1701, 2.5447], [-1.9924, 3.0914, 2.8274]],
  "species": ["Pb", "Mg", "Ce", "Ce"],
  "fractional_positions": [[0.5000, 0.5000, 0.5000], [0.5000, 0.0000, 0.0000], [0.0000, 0.0000, 0.5000], [0.0000, 0.5000, 0.0000]]
}

***

Entry 6:
{
  "formula": "CeMg2Pb",
  "functional": "PBE-GGA",
  "state": "optimized geometry",
  "dos_ef_per_ev_cell": 17.24,
  "final_energy_ev_per_atom": -3.36,
  "space_group": "Pmmn",
  "formation_enthalpy_0k_ev_per_atom": -0.153,
  "de_polymorph_ev_per_fu": 0.32,
  "volume_a3_per_atom": 27.17,
  "lattice_angstrom": [[-3.8224, 2.8885, 0.5453], [-1.0794, -2.5095, 5.7276], [4.1584, 4.9458, 2.9506]],
  "species": ["Ce", "Ce", "Mg", "Mg", "Mg", "Mg", "Pb", "Pb"],
  "fractional_positions": [[0.0000, 0.0000, 0.4139], [0.5000, 0.5000, 0.5861], [0.0000, 0.2635, 0.8634], [0.0000, 0.7365, 0.8634], [0.5000, 0.2365, 0.1366], [0.5000, 0.7635, 0.1366], [0.0000, 0.5000, 0.2663], [0.5000, 0.0000, 0.7337]]
}

***

Entry 7:
{
  "formula": "Ce3Mg2Pb4",
  "functional": "PBE-GGA",
  "state": "optimized geometry",
  "dos_ef_per_ev_cell": 23.32,
  "final_energy_ev_per_atom": -4.26,
  "space_group": "C2/m",
  "formation_enthalpy_0k_ev_per_atom": -0.284,
  "volume_a3_per_atom": 29.13,
  "lattice_angstrom": [[4.8266, 0.0000, 0.0000], [-2.4133, 6.2689, -0.6617], [0.0000, -3.4932, 9.0330]],
  "species": ["Ce", "Ce", "Ce", "Mg", "Mg", "Pb", "Pb", "Pb", "Pb"],
  "fractional_positions": [[0.6334, 0.2668, 0.6866], [0.0000, 0.0000, 0.0000], [0.3666, 0.7332, 0.3134], [0.6794, 0.3588, 0.3492], [0.3206, 0.6412, 0.6508], [0.6943, 0.3886, 0.0571], [0.3057, 0.6114, 0.9429], [0.9293, 0.8586, 0.6153], [0.0707, 0.1414, 0.3847]]
}

***

Entry 8:
{
  "formula": "CeMgPb3",
  "functional": "PBE-GGA",
  "state": "optimized geometry",
  "dos_ef_per_ev_cell": 17.88,
  "final_energy_ev_per_atom": -3.79,
  "space_group": "Cmcm",
  "formation_enthalpy_0k_ev_per_atom": -0.062,
  "de_polymorph_ev_per_fu": 0.41,
  "volume_a3_per_atom": 30.10,
  "lattice_angstrom": [[6.2924, 0.0000, 0.0000], [0.0000, 7.4280, 0.0048], [0.0000, -3.7079, 6.4364]],
  "species": ["Ce", "Ce", "Mg", "Mg", "Pb", "Pb", "Pb", "Pb", "Pb", "Pb"],
  "fractional_positions": [[0.2500, 0.3334, 0.6666], [0.7500, 0.6666, 0.3334], [0.0000, 0.0000, 0.0000], [0.5000, 0.0000, 0.0000], [0.2500, 0.8068, 0.1932], [0.7500, 0.1932, 0.8068], [0.2500, 0.8066, 0.6138], [0.7500, 0.1934, 0.3862], [0.2500, 0.3862, 0.1934], [0.7500, 0.6138, 0.8066]]
}

***

What is the formula in the fourth record?
Ce5MgPb6